1.
## Er2FeS4 (GGA-PBE)

Data for crystalline Er2FeS4 at its relaxed geometry.

Properties
Total DFT energy (no corrections) ... -6.335 eV per atom
Spin magnetization ... 0.57 μB/atom

Cell and atoms, written as POSCAR:
```
Er2FeS4
1.0
0.000 5.441 5.441
5.441 0.000 5.441
5.441 5.441 0.000
Er Fe S
4 2 8
Direct
0.000 0.000 0.000
0.000 0.000 0.500
0.000 0.500 0.000
0.500 0.000 0.000
0.375 0.375 0.375
0.625 0.625 0.625
0.247 0.751 0.751
0.249 0.249 0.249
0.249 0.249 0.753
0.249 0.753 0.249
0.751 0.247 0.751
0.751 0.751 0.247
0.751 0.751 0.751
0.753 0.249 0.249
```

***

2.
## Er3Tm3FeSb2 (GGA-PBE)

Data for crystalline Er3Tm3FeSb2 at its relaxed geometry.

Properties
Total DFT energy (no corrections) ... -5.400 eV per atom
Spin magnetization ... 0.07 μB/atom

Cell and atoms, written as POSCAR:
```
Er3Tm3FeSb2
1.0
8.105 0.000 0.000
-4.053 7.020 0.000
0.000 0.000 4.085
Er Tm Fe Sb
3 3 1 2
Direct
0.000 0.766 0.000
0.234 0.234 0.000
0.766 0.000 0.000
0.000 0.395 0.500
0.395 0.000 0.500
0.605 0.605 0.500
0.000 0.000 0.500
0.333 0.667 0.000
0.667 0.333 0.000
```

***

3.
## Er3Tm3FeSb2 (GGA-PBE)

Data for crystalline Er3Tm3FeSb2 at its relaxed geometry.

Properties
Total DFT energy (no corrections) ... -5.419 eV per atom
Spin magnetization ... 0.08 μB/atom

Cell and atoms, written as POSCAR:
```
Er3Tm3FeSb2
1.0
8.102 0.000 0.000
-4.051 7.016 0.000
0.000 0.000 4.090
Er Tm Fe Sb
3 3 1 2
Direct
0.000 0.394 0.000
0.394 0.000 0.000
0.606 0.606 0.000
0.000 0.767 0.500
0.233 0.233 0.500
0.767 0.000 0.500
0.000 0.000 0.000
0.333 0.667 0.500
0.667 0.333 0.500
```